# 1
A crystal of FeMo2Ru relaxed with PBEsol, computed with meta-GGA SCAN.

The space group is Cmm2 (No. 35) and the conventional cell measures 3.731, 3.738 and 7.838 Å, with angles of 90.00, 90.00 and 90.00 degrees. The distinct sites, in fractional coordinates, are Fe at (0.000, 0.000, 0.000), Mo at (0.000, 0.000, 0.472), Mo at (0.000, 0.500, 0.760) and Ru at (0.000, 0.500, 0.215).

The volume comes out at 13.7 A^3/atom. For the excess energy over the best structure of this formula in the dataset, the calculation gives 78.2 meV/atom. The value obtained for the spin magnetization is 2.1 μB/f.u. The calculation puts the uncorrected energy at -121.9 eV/f.u. As for the formation energy: 0.21 eV per atom.

---

# 2
A crystal of FeMo2Ru relaxed with PBEsol, computed with meta-GGA SCAN.

The space group is P4mm (No. 99) and the conventional cell measures 3.074, 3.074 and 5.846 Å, with angles of 90.00, 90.00 and 90.00 degrees. The distinct sites, in fractional coordinates, are Fe at (0.000, 0.000, 0.000), Mo at (0.000, 0.000, 0.493), Mo at (0.500, 0.500, 0.214) and Ru at (0.500, 0.500, 0.742).

The volume comes out at 13.8 A^3/atom. For the excess energy over the best structure of this formula in the dataset, the calculation gives 2.1 meV/atom. The value obtained for the spin magnetization is 2.5 μB/f.u. The calculation puts the uncorrected energy at -122.2 eV/f.u. As for the formation energy: 0.13 eV per atom.

---

# 3
A crystal of Fe2MoRu relaxed with PBEsol, computed with meta-GGA SCAN.

The space group is Amm2 (No. 38) and the conventional cell measures 3.972, 2.588 and 9.490 Å, with angles of 90.00, 90.00 and 90.00 degrees. The distinct sites, in fractional coordinates, are Fe at (0.000, 0.000, 0.000), Fe at (0.500, 0.000, 0.123), Mo at (0.000, 0.000, 0.736) and Ru at (0.500, 0.000, 0.400).

The volume comes out at 12.2 A^3/atom. The value obtained for the spin magnetization is 2.9 μB/f.u. The calculation puts the uncorrected energy at -105.0 eV/f.u. As for the formation energy: 0.24 eV per atom.

---

# 4
A crystal of FeSbMo2 relaxed with PBEsol, computed with meta-GGA SCAN.

The space group is R-3m (No. 166, hexagonal axes) and the conventional cell measures 2.9474, 2.9474 and 25.2396 Å, with angles of 90.00, 90.00 and 120.00 degrees. The distinct sites, in fractional coordinates, are Fe at (0.0000, 0.0000, 0.0000), Sb at (0.0000, 0.0000, 0.5000) and Mo at (0.0000, 0.0000, 0.2576).

The formation energy (no corrections) is 556 meV per atom. The volume comes out at 15.8 A^3/atom. The value obtained for the spin magnetization is 2.0 μB/f.u. The calculation puts the uncorrected energy at -122.9 eV/f.u.

---

# 5
A crystal of Fe2SbMo relaxed with PBEsol, computed with meta-GGA SCAN.

The space group is P4mm (No. 99) and the conventional cell measures 3.090, 3.090 and 5.957 Å, with angles of 90.00, 90.00 and 90.00 degrees. The distinct sites, in fractional coordinates, are Fe at (0.000, 0.000, 0.000), Fe at (0.500, 0.500, 0.210), Sb at (0.500, 0.500, 0.751) and Mo at (0.000, 0.000, 0.450).

The formation energy (no corrections) is 272 meV per atom. The volume comes out at 14.2 A^3/atom. The value obtained for the spin magnetization is 4.5 μB/f.u. The calculation puts the uncorrected energy at -107.3 eV/f.u.

---

# 6
A crystal of Fe2SbMo relaxed with PBEsol, computed with meta-GGA SCAN.

The space group is Imm2 (No. 44) and the conventional cell measures 3.264, 4.112 and 8.323 Å, with angles of 90.00, 90.00 and 90.00 degrees. The distinct sites, in fractional coordinates, are Fe at (0.000, 0.000, 0.000), Fe at (0.000, 0.500, 0.272), Sb at (0.000, 0.000, 0.524) and Mo at (0.000, 0.500, 0.761).

The formation energy (no corrections) is 230 meV per atom. The volume comes out at 14.0 A^3/atom. The value obtained for the spin magnetization is 5.3 μB/f.u. The calculation puts the uncorrected energy at -107.5 eV/f.u.

---

# 7
A crystal of FeSbMo relaxed with PBEsol, computed with meta-GGA SCAN.

The space group is P3m1 (No. 156) and the conventional cell measures 4.2600, 4.2600 and 2.8809 Å, with angles of 90.00, 90.00 and 120.00 degrees. The distinct sites, in fractional coordinates, are Fe at (0.0000, 0.0000, 0.0000), Sb at (0.6667, 0.3333, 0.0042) and Mo at (0.3333, 0.6667, 0.5035).

The formation energy (no corrections) is 531 meV per atom. The volume comes out at 15.1 A^3/atom. The value obtained for the spin magnetization is 0.0 μB/f.u. The calculation puts the uncorrected energy at -88.7 eV/f.u.

---

# 8
A crystal of FeSbMo2 relaxed with PBEsol, computed with meta-GGA SCAN.

The space group is P4mm (No. 99) and the conventional cell measures 3.278, 3.278 and 5.780 Å, with angles of 90.00, 90.00 and 90.00 degrees. The distinct sites, in fractional coordinates, are Fe at (0.000, 0.000, 0.000), Sb at (0.500, 0.500, 0.246), Mo at (0.000, 0.000, 0.529) and Mo at (0.500, 0.500, 0.767).

The formation energy (no corrections) is 234 meV per atom. The volume comes out at 15.5 A^3/atom. The value obtained for the spin magnetization is 2.9 μB/f.u. The calculation puts the uncorrected energy at -124.2 eV/f.u.

---

# 9
A crystal of FeSb2Mo relaxed with PBEsol, computed with meta-GGA SCAN.

The space group is C2/m (No. 12) and the conventional cell measures 8.312, 3.189 and 5.415 Å, with angles of 90.00, 103.42 and 90.00 degrees. The distinct sites, in fractional coordinates, are Fe at (0.000, 0.000, 0.000), Sb at (0.246, 0.500, 0.242) and Mo at (0.000, 0.500, 0.500).

The formation energy (no corrections) is 512 meV per atom. The volume comes out at 17.4 A^3/atom. For the excess energy over the best structure of this formula in the dataset, the calculation gives 0.0 meV/atom. The value obtained for the spin magnetization is 2.1 μB/f.u. The calculation puts the uncorrected energy at -125.5 eV/f.u.

---

# 10
A crystal of FeSbMo2 relaxed with PBEsol, computed with meta-GGA SCAN.

The space group is Imm2 (No. 44) and the conventional cell measures 3.300, 4.369 and 8.437 Å, with angles of 90.00, 90.00 and 90.00 degrees. The distinct sites, in fractional coordinates, are Fe at (0.000, 0.000, 0.000), Sb at (0.000, 0.500, 0.738), Mo at (0.000, 0.000, 0.503) and Mo at (0.000, 0.500, 0.257).

The formation energy (no corrections) is 215 meV per atom. The volume comes out at 15.2 A^3/atom. The value obtained for the spin magnetization is 2.2 μB/f.u. The calculation puts the uncorrected energy at -124.3 eV/f.u.

---

# 11
A crystal of Fe2SbMo relaxed with PBEsol, computed with meta-GGA SCAN.

The space group is Pm (No. 6) and the conventional cell measures 2.837, 4.112 and 5.064 Å, with angles of 90.00, 97.73 and 90.00 degrees. The distinct sites, in fractional coordinates, are Fe at (0.000, 0.000, 0.000), Fe at (0.304, 0.500, 0.805), Sb at (0.304, 0.000, 0.517) and Mo at (0.716, 0.500, 0.246).

The formation energy (no corrections) is 350 meV per atom. The volume comes out at 14.6 A^3/atom. The value obtained for the spin magnetization is 4.6 μB/f.u. The calculation puts the uncorrected energy at -107.0 eV/f.u.

---

# 12
A crystal of Fe2SbMo relaxed with PBEsol, computed with meta-GGA SCAN.

The space group is C2/m (No. 12) and the conventional cell measures 8.367, 3.002 and 4.682 Å, with angles of 90.00, 100.27 and 90.00 degrees. The distinct sites, in fractional coordinates, are Fe at (0.247, 0.000, 0.221), Sb at (0.000, 0.000, 0.500) and Mo at (0.000, 0.500, 0.000).

The formation energy (no corrections) is 397 meV per atom. The volume comes out at 14.5 A^3/atom. The value obtained for the spin magnetization is 4.6 μB/f.u. The calculation puts the uncorrected energy at -106.8 eV/f.u.